Density functional theory data (PBE) for crystalline HfMnB2W at its relaxed geometry.

Cell and atoms, written as CIF:
```
data_HfMnB2W
_symmetry_space_group_name_H-M 'P 4/m m m'
_symmetry_Int_Tables_number 123
_symmetry_space_group_name_Hall '-P 4 2'
_cell_length_a 4.209
_cell_length_b 4.209
_cell_length_c 4.479
_cell_angle_alpha 90.00
_cell_angle_beta 90.00
_cell_angle_gamma 90.00
loop_
_atom_site_label
_atom_site_fract_x
_atom_site_fract_y
_atom_site_fract_z
Hf1 0.000 0.000 0.000
Mn1 0.000 0.000 0.500
B1 0.000 0.500 0.000
W1 0.500 0.500 0.500
```

Values from the calculation:
- E_tot (eV/atom) = -6.975
- M_tot (μB/f.u.) = 1.7